The following is a GGA+U calculation of a geometry-optimized Sr2FeBr2O2 structure, from the Alexandria database.

Computed properties:
SG: I4/mmm, No. 139
Total DFT energy (no corrections): -5.183 eV/atom

Lattice parameters (Å, degrees): 9.2815 9.2815 9.2815 154.28 154.28 36.69
With the nearest neighbours (Å) after each atom.
Atoms (fractional coordinates):
Sr  0.0935  0.0935  0.0000  4 O 2.64
Sr  0.9065  0.9065  0.0000  4 O 2.64
Fe  0.5000  0.5000  0.0000  4 O 2.07
Br  0.3297  0.3297  0.0000  1 Fe 3.00, 4 Sr 3.22
Br  0.6703  0.6703  0.0000  1 Fe 3.00, 4 Sr 3.22
O  0.0000  0.5000  0.5000  2 Fe 2.07
O  0.5000  0.0000  0.5000  2 Fe 2.07